(1)
Computed, not measured: a geometry-optimized ZrAl4Ru structure at the PBE level of DFT.

Properties
M_tot ... 0.0 μB/f.u.
Volume ... 96.8 Å³/f.u.
Energy relative to the elements ... -1.1 eV per formula unit

```
data_ZrAl4Ru
_chemical_formula_sum 'Zr4 Al16 Ru4'
_cell_length_a 7.289
_cell_length_b 7.289
_cell_length_c 7.289
_cell_angle_alpha 90.00
_cell_angle_beta 90.00
_cell_angle_gamma 90.00
_symmetry_space_group_name_H-M 'F -4 3 m'
_symmetry_Int_Tables_number 216
_symmetry_space_group_name_Hall 'F -4 2 3'
loop_
_atom_site_label
_atom_site_type_symbol
_atom_site_fract_x
_atom_site_fract_y
_atom_site_fract_z
_atom_site_occupancy
Zr1 Zr 0.000 0.000 0.000 1
Al1 Al 0.126 0.126 0.626 1
Ru1 Ru 0.250 0.250 0.250 1
```

---

(2)
Computed, not measured: a geometry-optimized Zr2AlRu structure at the PBE level of DFT.

Properties
M_tot ... 0.0 μB/f.u.
Volume ... 77.1 Å³/f.u.
Energy relative to the elements ... -0.6 eV per formula unit

```
data_Zr2AlRu
_chemical_formula_sum 'Zr6 Al3 Ru3'
_cell_length_a 3.1865
_cell_length_b 3.1865
_cell_length_c 26.3000
_cell_angle_alpha 90.00
_cell_angle_beta 90.00
_cell_angle_gamma 120.00
_symmetry_space_group_name_H-M 'R 3 m'
_symmetry_Int_Tables_number 160
_symmetry_space_group_name_Hall 'R 3 -2"'
loop_
_atom_site_label
_atom_site_type_symbol
_atom_site_fract_x
_atom_site_fract_y
_atom_site_fract_z
_atom_site_occupancy
Zr1 Zr 0.0000 0.0000 0.0000 1
Zr2 Zr 0.0000 0.0000 0.2367 1
Al1 Al 0.0000 0.0000 0.4780 1
Ru1 Ru 0.0000 0.0000 0.7435 1
```

---

(3)
Computed, not measured: a geometry-optimized ZrAlRu2 structure at the PBE level of DFT.

Properties
M_tot ... 0.0 μB/f.u.
Volume ... 64.7 Å³/f.u.
Energy relative to the elements ... -1.5 eV per formula unit

```
data_ZrAlRu2
_chemical_formula_sum 'Zr2 Al2 Ru4'
_cell_length_a 8.714
_cell_length_b 3.139
_cell_length_c 5.004
_cell_angle_alpha 90.00
_cell_angle_beta 109.04
_cell_angle_gamma 90.00
_symmetry_space_group_name_H-M 'C 1 2/m 1'
_symmetry_Int_Tables_number 12
_symmetry_space_group_name_Hall '-C 2y'
loop_
_atom_site_label
_atom_site_type_symbol
_atom_site_fract_x
_atom_site_fract_y
_atom_site_fract_z
_atom_site_occupancy
Zr1 Zr 0.000 0.000 0.000 1
Al1 Al 0.000 0.500 0.500 1
Ru1 Ru 0.240 0.000 0.717 1
```

---

(4)
Computed, not measured: a geometry-optimized Zr2AlRu structure at the PBE level of DFT.

Properties
M_tot ... 0.0 μB/f.u.
Volume ... 74.1 Å³/f.u.
Energy relative to the elements ... -1.8 eV per formula unit

```
data_Zr2AlRu
_chemical_formula_sum 'Zr2 Al1 Ru1'
_cell_length_a 3.218
_cell_length_b 3.218
_cell_length_c 7.160
_cell_angle_alpha 90.00
_cell_angle_beta 90.00
_cell_angle_gamma 90.00
_symmetry_space_group_name_H-M 'P 4 m m'
_symmetry_Int_Tables_number 99
_symmetry_space_group_name_Hall 'P 4 -2'
loop_
_atom_site_label
_atom_site_type_symbol
_atom_site_fract_x
_atom_site_fract_y
_atom_site_fract_z
_atom_site_occupancy
Zr1 Zr 0.000 0.000 0.000 1
Zr2 Zr 0.500 0.500 0.304 1
Al1 Al 0.000 0.000 0.586 1
Ru1 Ru 0.500 0.500 0.769 1
```